(1)
VASP calculation (SCAN) on InAsSe2N at its PBEsol-relaxed geometry.

Lattice parameters (Å, degrees): 4.809 4.809 3.996 90.00 90.00 90.00
Sites, in units of the cell vectors:
In  0.000  0.000  0.000
As  0.500  0.500  0.000
Se  0.000  0.500  0.500
Se  0.500  0.000  0.500
N  0.500  0.500  0.500

Output
- ΔE_f (raw) (eV per atom) = 0.8006


(2)
VASP calculation (SCAN) on InTe2AsN at its PBEsol-relaxed geometry.

Lattice parameters (Å, degrees): 5.667 5.667 3.970 90.00 90.00 90.00
Sites, in units of the cell vectors:
In  0.000  0.000  0.000
Te  0.000  0.500  0.000
Te  0.500  0.000  0.000
As  0.500  0.500  0.500
N  0.000  0.000  0.500

Output
- ΔE_f (raw) (eV per atom) = 1.0294


(3)
VASP calculation (SCAN) on ZnInAsN2 at its PBEsol-relaxed geometry.

Lattice parameters (Å, degrees): 3.845 3.845 5.078 90.00 90.00 90.00
Sites, in units of the cell vectors:
Zn  0.000  0.000  0.000
In  0.500  0.500  0.000
As  0.000  0.000  0.500
N  0.000  0.500  0.500
N  0.500  0.000  0.500

Output
- ΔE_f (raw) (eV per atom) = 1.1837


(4)
VASP calculation (SCAN) on NaIn3As at its PBEsol-relaxed geometry.

Lattice parameters (Å, degrees): 5.292 5.292 5.292 90.00 90.00 90.00
Sites, in units of the cell vectors:
Na  0.000  0.000  0.000
In  0.000  0.000  0.500
In  0.000  0.500  0.000
In  0.500  0.000  0.000
As  0.500  0.500  0.500

Output
- formation energy (meV per atom) = 737.3


(5)
VASP calculation (SCAN) on Na2InAs at its PBEsol-relaxed geometry.

Lattice parameters (Å, degrees): 5.061 5.061 5.061 60.00 60.00 60.00
Sites, in units of the cell vectors:
Na  0.250  0.250  0.250
Na  0.750  0.750  0.750
In  0.000  0.000  0.000
As  0.500  0.500  0.500

Output
- formation energy (meV per atom) = -260.4


(6)
VASP calculation (SCAN) on NaInAs3 at its PBEsol-relaxed geometry.

Lattice parameters (Å, degrees): 5.231 5.231 5.231 90.00 90.00 90.00
Sites, in units of the cell vectors:
Na  0.000  0.000  0.000
In  0.500  0.500  0.500
As  0.000  0.500  0.500
As  0.500  0.000  0.500
As  0.500  0.500  0.000

Output
- formation energy (meV per atom) = 588.2


(7)
VASP calculation (SCAN) on NaIn2As at its PBEsol-relaxed geometry.

Lattice parameters (Å, degrees): 6.698 6.698 6.698 99.91 99.91 130.98
Sites, in units of the cell vectors:
Na  0.000  0.000  0.000
Na  0.750  0.250  0.500
In  0.191  0.125  0.566
In  0.375  0.809  0.934
In  0.559  0.625  0.434
In  0.875  0.441  0.066
As  0.250  0.750  0.500
As  0.500  0.500  0.000

Output
- formation energy (meV per atom) = -253.5


(8)
VASP calculation (SCAN) on Na3In2As3O12 at its PBEsol-relaxed geometry.

Lattice parameters (Å, degrees): 9.150 9.150 6.887 106.12 106.12 92.94
Sites, in units of the cell vectors:
Na  0.000  0.000  0.000
Na  0.000  0.000  0.500
Na  0.222  0.778  0.750
Na  0.480  0.520  0.750
Na  0.520  0.480  0.250
Na  0.778  0.222  0.250
In  0.123  0.435  0.858
In  0.435  0.123  0.358
In  0.565  0.877  0.642
In  0.877  0.565  0.142
As  0.158  0.366  0.369
As  0.222  0.778  0.250
As  0.366  0.158  0.869
As  0.634  0.842  0.131
As  0.778  0.222  0.750
As  0.842  0.634  0.631
O  0.039  0.764  0.272
O  0.043  0.203  0.318
O  0.093  0.453  0.171
O  0.170  0.502  0.605
O  0.203  0.043  0.818
O  0.236  0.961  0.228
O  0.250  0.659  0.027
O  0.340  0.347  0.886
O  0.341  0.750  0.473
O  0.347  0.340  0.386
O  0.453  0.093  0.671
O  0.498  0.830  0.895
O  0.502  0.170  0.105
O  0.547  0.907  0.329
O  0.653  0.660  0.614
O  0.659  0.250  0.527
O  0.660  0.653  0.114
O  0.750  0.341  0.973
O  0.764  0.039  0.772
O  0.797  0.957  0.182
O  0.830  0.498  0.395
O  0.907  0.547  0.829
O  0.957  0.797  0.682
O  0.961  0.236  0.728

Output
- ΔE_f (raw) (eV per atom) = -1.7520


(9)
VASP calculation (SCAN) on NaInAs2O7 at its PBEsol-relaxed geometry.

Lattice parameters (Å, degrees): 6.774 6.774 14.001 105.06 105.06 80.54
Sites, in units of the cell vectors:
Na  0.043  0.762  0.878
Na  0.238  0.957  0.622
Na  0.762  0.043  0.378
Na  0.957  0.238  0.122
In  0.128  0.597  0.361
In  0.403  0.872  0.139
In  0.597  0.128  0.861
In  0.872  0.403  0.639
As  0.092  0.246  0.865
As  0.246  0.092  0.365
As  0.334  0.419  0.576
As  0.419  0.334  0.076
As  0.581  0.666  0.924
As  0.666  0.581  0.424
As  0.754  0.908  0.635
As  0.908  0.754  0.135
O  0.034  0.575  0.200
O  0.069  0.886  0.106
O  0.077  0.273  0.315
O  0.114  0.931  0.394
O  0.189  0.320  0.630
O  0.202  0.614  0.522
O  0.209  0.409  0.980
O  0.273  0.077  0.815
O  0.320  0.189  0.130
O  0.386  0.798  0.978
O  0.409  0.209  0.480
O  0.425  0.966  0.300
O  0.440  0.511  0.349
O  0.489  0.560  0.151
O  0.511  0.440  0.849
O  0.560  0.489  0.651
O  0.575  0.034  0.700
O  0.591  0.791  0.520
O  0.614  0.202  0.022
O  0.680  0.811  0.870
O  0.727  0.923  0.185
O  0.791  0.591  0.020
O  0.798  0.386  0.478
O  0.811  0.680  0.370
O  0.886  0.069  0.606
O  0.923  0.727  0.685
O  0.931  0.114  0.894
O  0.966  0.425  0.800

Output
- ΔE_f (raw) (eV per atom) = -1.6300


(10)
VASP calculation (SCAN) on NaInAs2S at its PBEsol-relaxed geometry.

Lattice parameters (Å, degrees): 4.886 4.886 4.886 90.00 90.00 90.00
Sites, in units of the cell vectors:
Na  0.000  0.000  0.000
In  0.500  0.500  0.000
As  0.000  0.500  0.500
As  0.500  0.000  0.500
S  0.000  0.000  0.500

Output
- ΔE_f (raw) (eV per atom) = 0.1162


(11)
VASP calculation (SCAN) on InAsSe2O at its PBEsol-relaxed geometry.

Lattice parameters (Å, degrees): 4.568 4.568 4.362 90.00 90.00 90.00
Sites, in units of the cell vectors:
In  0.000  0.000  0.000
As  0.500  0.500  0.000
Se  0.000  0.500  0.500
Se  0.500  0.000  0.500
O  0.500  0.500  0.500

Output
- ΔE_f (raw) (eV per atom) = 0.3157


(12)
VASP calculation (SCAN) on InSn2AsO at its PBEsol-relaxed geometry.

Lattice parameters (Å, degrees): 5.587 5.587 3.954 90.00 90.00 90.00
Sites, in units of the cell vectors:
In  0.000  0.000  0.000
Sn  0.000  0.500  0.000
Sn  0.500  0.000  0.000
As  0.500  0.500  0.500
O  0.000  0.000  0.500

Output
- ΔE_f (raw) (eV per atom) = 0.2725


no.,spin magnetization (μB/atom)
1,0.00
2,0.32
3,0.00
4,0.00
5,0.00
6,0.00
7,0.00
8,0.00
9,0.00
10,0.00
11,0.00
12,0.06